[1]
Here is a relaxed Sr2TbMg3Cd12 crystal from Alexandria via LeMat-Bulk. Energies are from PBE.

Unit cell a=8.6969 b=8.6969 c=8.6969 alpha=70.81 beta=70.81 gamma=70.81
Atoms (fractional coordinates):
Sr  0.0967  0.0967  0.0967
Sr  0.9033  0.9033  0.9033
Tb  0.5000  0.5000  0.5000
Mg  0.0000  0.5000  0.5000
Mg  0.5000  0.0000  0.5000
Mg  0.5000  0.5000  0.0000
Cd  0.1229  0.6548  0.6548
Cd  0.2038  0.2038  0.6783
Cd  0.2038  0.6783  0.2038
Cd  0.3217  0.7962  0.7962
Cd  0.3452  0.3452  0.8771
Cd  0.3452  0.8771  0.3452
Cd  0.6548  0.1229  0.6548
Cd  0.6548  0.6548  0.1229
Cd  0.6783  0.2038  0.2038
Cd  0.7962  0.3217  0.7962
Cd  0.7962  0.7962  0.3217
Cd  0.8771  0.3452  0.3452

Computed properties:
For the total energy, the calculation gives -21.400 eV for the cell shown. The space-group type is R-3m (166).

***

[2]
Here is a relaxed SrMgTl2Cd2 crystal from Alexandria via LeMat-Bulk. Energies are from PBE.

Unit cell a=5.1305 b=5.1305 c=7.2980 alpha=90.00 beta=90.00 gamma=120.00
Atoms (fractional coordinates):
Sr  0.0000  0.0000  0.0000
Mg  0.0000  0.0000  0.5000
Tl  0.3333  0.6667  0.2497
Tl  0.6667  0.3333  0.7503
Cd  0.3333  0.6667  0.7042
Cd  0.6667  0.3333  0.2958

Computed properties:
For the total energy, the calculation gives -10.880 eV for the cell shown. The space-group type is P-3m1 (164).

***

[3]
Here is a relaxed Sr2MgTl4Cd3 crystal from Alexandria via LeMat-Bulk. Energies are from PBE.

Unit cell a=4.8727 b=4.8727 c=12.5910 alpha=90.00 beta=90.00 gamma=90.00
Atoms (fractional coordinates):
Sr  0.0000  0.5000  0.2464
Sr  0.5000  0.0000  0.7536
Mg  0.5000  0.5000  0.0000
Tl  0.0000  0.0000  0.5000
Tl  0.0000  0.5000  0.8662
Tl  0.5000  0.0000  0.1338
Tl  0.5000  0.5000  0.5000
Cd  0.0000  0.0000  0.0000
Cd  0.0000  0.5000  0.6410
Cd  0.5000  0.0000  0.3590

Computed properties:
For the total energy, the calculation gives -19.161 eV for the cell shown. The space-group type is P-4m2 (115).

***

[4]
Here is a relaxed SrMgTlCd2 crystal from Alexandria via LeMat-Bulk. Energies are from PBE.

Unit cell a=7.4189 b=7.4189 c=7.4189 alpha=145.03 beta=142.74 gamma=52.02
Atoms (fractional coordinates):
Sr  0.0000  0.0000  0.0000
Mg  0.2488  0.7488  0.5000
Tl  0.6116  0.6116  0.0000
Cd  0.3919  0.3919  0.0000
Cd  0.7656  0.2656  0.5000

Computed properties:
For the total energy, the calculation gives -8.647 eV for the cell shown. The space-group type is Imm2 (44).

***

[5]
Here is a relaxed SrMgTl4Cd2 crystal from Alexandria via LeMat-Bulk. Energies are from PBE.

Unit cell a=9.8776 b=9.8776 c=9.8776 alpha=30.86 beta=30.86 gamma=30.86
Atoms (fractional coordinates):
Sr  0.0000  0.0000  0.0000
Mg  0.5000  0.5000  0.5000
Tl  0.1297  0.1297  0.1297
Tl  0.3890  0.3890  0.3890
Tl  0.6110  0.6110  0.6110
Tl  0.8703  0.8703  0.8703
Cd  0.2564  0.2564  0.2564
Cd  0.7436  0.7436  0.7436

Computed properties:
For the total energy, the calculation gives -15.623 eV for the cell shown. The space-group type is R-3m (166).

***

[6]
Here is a relaxed SrMg2Tl4Cd crystal from Alexandria via LeMat-Bulk. Energies are from PBE.

Unit cell a=9.9457 b=9.9457 c=9.9457 alpha=30.43 beta=30.43 gamma=30.43
Atoms (fractional coordinates):
Sr  0.0000  0.0000  0.0000
Mg  0.2497  0.2497  0.2497
Mg  0.7503  0.7503  0.7503
Tl  0.1270  0.1270  0.1270
Tl  0.3890  0.3890  0.3890
Tl  0.6110  0.6110  0.6110
Tl  0.8730  0.8730  0.8730
Cd  0.5000  0.5000  0.5000

Computed properties:
For the total energy, the calculation gives -16.315 eV for the cell shown. The space-group type is R-3m (166).

***

[7]
Here is a relaxed SrMgTl2Cd crystal from Alexandria via LeMat-Bulk. Energies are from PBE.

Unit cell a=7.4390 b=7.4390 c=7.4390 alpha=143.29 beta=143.29 gamma=52.88
Atoms (fractional coordinates):
Sr  0.0000  0.0000  0.0000
Mg  0.2500  0.7500  0.5000
Tl  0.3879  0.3879  0.0000
Tl  0.6121  0.6121  0.0000
Cd  0.7500  0.2500  0.5000

Computed properties:
For the total energy, the calculation gives -9.999 eV for the cell shown. The value obtained for the relative energy among the computed polymorphs is 0.0000 eV per atom. The space-group type is I-4m2 (119).

***

[8]
Here is a relaxed SrMg4Tl2Cd crystal from Alexandria via LeMat-Bulk. Energies are from PBE.

Unit cell a=9.6623 b=9.6623 c=9.6623 alpha=30.80 beta=30.80 gamma=30.80
Atoms (fractional coordinates):
Sr  0.0000  0.0000  0.0000
Mg  0.1330  0.1330  0.1330
Mg  0.3974  0.3974  0.3974
Mg  0.6026  0.6026  0.6026
Mg  0.8670  0.8670  0.8670
Tl  0.2610  0.2610  0.2610
Tl  0.7390  0.7390  0.7390
Cd  0.5000  0.5000  0.5000

Computed properties:
For the total energy, the calculation gives -14.494 eV for the cell shown. The space-group type is R-3m (166).

***

Formation energy, record by record: 131; -174; -199; -235; -131; -133; -215; -98 meV/atom
DOS(E_F), record by record: 0.49; 0.51; 0.51; 0.51; 0.38; 0.35; 0.50; 0.44 states/eV/atom